The following is a DFT calculation (PBE) of crystalline NdCdAu at its relaxed geometry.

Output
DFT total energy ... -3.633 eV per atom
Space group ... P-62m, No. 189
DFT formation energy ... -647 meV/atom
Total magnetic moment ... 0.000 μB per atom

Cell: 4.0017 7.9851 7.9851 Å, 120.01 90.00 90.00°
With the nearest neighbours (Å) after each atom.
Sites, in units of the cell vectors:
Au1 0.5000 0.6667 0.3333  3 Cd 3.00, 6 Nd 3.15
Nd1 0.0000 0.0000 0.4038  5 Au 3.15-3.22, 6 Cd 3.35-3.47
Cd1 0.5000 0.2593 0.2593  4 Au 2.88-3.00
Cd2 0.5000 0.0000 0.7407  4 Au 2.88-3.00
Au2 0.0000 0.0000 0.0000  6 Cd 2.88, 3 Nd 3.22
Cd3 0.5000 0.7407 0.0000  4 Au 2.88-3.00
Nd2 0.0000 0.4038 0.0000  5 Au 3.15-3.22, 6 Cd 3.35-3.47
Nd3 0.0000 0.5962 0.5962  5 Au 3.15-3.22, 6 Cd 3.35-3.47
Au3 0.5000 0.3333 0.6667  3 Cd 3.00, 6 Nd 3.15